# 1
DFT (PBE) results for a geometry-optimized CsK2Cd structure.

```
4
Lattice="-2.638 2.869 5.071 -6.343 -0.136 0.810 -2.377 -5.236 5.760" Properties=species:S:1:pos:R:3 pbc="T T T"
Cs -5.669 -1.354 5.884
K -2.440 -4.605 5.370
K -2.899 -0.038 2.547
Cd -8.407 -2.992 9.420
```

The calculated formation energy is 0.03 eV per atom. Its crystal system is trigonal.

# 2
DFT (PBE) results for a geometry-optimized CsKCd structure.

```
6
Lattice="-2.107 -4.197 -2.367 7.849 -5.727 3.196 -1.096 -3.290 6.815" Properties=species:S:1:pos:R:3 pbc="T T T"
Cs 0.913 -5.320 4.814
Cs 3.497 -8.228 1.818
K -0.590 -5.312 0.283
K 5.000 -8.241 6.349
Cd 1.507 -9.302 5.513
Cd 2.909 -4.240 1.123
```

The calculated formation energy is -0.04 eV per atom. Its excess energy over the best structure of this formula in the dataset is 0.0 kJ/mol of atoms. Its crystal system is triclinic.

# 3
DFT (PBE) results for a geometry-optimized Cs2K6Cd structure.

```
9
Lattice="-4.110 0.909 -2.948 -3.365 -10.772 1.369 -4.382 8.477 8.726" Properties=species:S:1:pos:R:3 pbc="T T T"
Cs -3.782 1.730 5.807
Cs -4.073 -4.365 4.332
K -4.092 -6.065 -0.645
K -4.396 -0.495 1.498
K -5.252 6.184 4.751
K -0.865 -2.767 0.352
K -6.164 -1.558 8.115
K -4.117 -8.845 3.011
Cd -2.089 0.346 -1.460
```

The calculated formation energy is 0.01 eV per atom. Its crystal system is orthorhombic.

# 4
DFT (PBE) results for a geometry-optimized CsK3Cd3 structure.

```
14
Lattice="9.742 0.000 0.000 0.000 9.742 0.000 0.000 0.000 9.742" Properties=species:S:1:pos:R:3 pbc="T T T"
Cs 4.871 4.871 4.871
Cs 0.000 0.000 0.000
K 2.435 0.000 4.871
K 0.000 4.871 2.435
K 4.871 7.306 0.000
K 7.306 0.000 4.871
K 0.000 4.871 7.306
K 4.871 2.435 0.000
Cd 0.000 2.435 4.871
Cd 0.000 7.306 4.871
Cd 4.871 0.000 7.306
Cd 7.306 4.871 0.000
Cd 4.871 0.000 2.435
Cd 2.435 4.871 0.000
```

The calculated formation energy is 0.18 eV per atom. Its crystal system is cubic.

# 5
DFT (PBE) results for a geometry-optimized CsKCd structure.

```
12
Lattice="-1.123 -2.293 -7.121 -4.732 -5.803 -1.404 -10.892 7.563 -4.736" Properties=species:S:1:pos:R:3 pbc="T T T"
K -9.913 1.842 -5.058
K -6.273 -1.227 -4.643
K -9.633 4.882 -8.090
K -2.381 0.388 -3.768
Cd -11.244 1.344 -8.706
Cd -6.064 -3.023 -8.116
Cd -8.301 5.379 -4.442
Cd -3.713 -0.109 -7.416
Cs -7.282 0.692 -9.121
Cs -10.026 -2.371 -7.702
Cs -2.495 -3.824 -6.412
Cs -3.361 -4.271 -2.113
```

The calculated formation energy is -0.01 eV per atom. Its excess energy over the best structure of this formula in the dataset is 3.2 kJ/mol of atoms. Its crystal system is orthorhombic.

# 6
DFT (PBE) results for a geometry-optimized Cs3KCd2 structure.

```
12
Lattice="-1.294 1.069 -5.028 4.468 -9.210 -5.903 -10.431 -9.063 -2.037" Properties=species:S:1:pos:R:3 pbc="T T T"
Cs -4.057 -15.169 -7.770
Cs -3.200 -2.036 -5.198
Cs -9.086 -10.163 -5.411
Cs 1.829 -7.041 -7.556
Cs -5.235 -6.921 -5.712
Cs -2.022 -10.284 -7.255
K -6.333 -11.444 -9.186
K -0.924 -5.760 -3.781
Cd -7.854 -13.671 -6.474
Cd 0.597 -3.534 -6.493
Cd -2.397 -12.689 -10.464
Cd -4.860 -4.516 -2.503
```

The calculated formation energy is -0.05 eV per atom. Its crystal system is monoclinic.

# 7
DFT (PBE) results for a geometry-optimized Cs9K6Cd structure.

```
16
Lattice="-6.169 8.637 -5.390 -10.175 -5.458 2.899 7.851 3.733 10.141" Properties=species:S:1:pos:R:3 pbc="T T T"
Cs -11.385 5.285 0.214
Cs -5.160 1.228 2.866
Cs -5.851 5.967 0.005
Cs -10.693 0.546 3.075
Cs 2.892 1.627 7.436
Cs -3.333 5.685 4.783
Cs -2.641 0.945 7.644
Cs 2.201 6.366 4.575
Cs -8.172 1.590 -1.246
K -13.616 1.172 -1.192
K -2.727 2.008 -1.300
K -8.558 6.258 -4.053
K -7.786 -3.079 1.562
K -8.381 5.057 4.549
K -0.112 1.855 3.100
Cd 0.000 0.000 0.000
```

The calculated formation energy is 0.01 eV per atom. Its crystal system is tetragonal.

# 8
DFT (PBE) results for a geometry-optimized CsK6Cd6 structure.

```
13
Lattice="-1.417 3.781 5.610 -9.331 0.690 1.437 -0.331 -5.366 7.791" Properties=species:S:1:pos:R:3 pbc="T T T"
Cs 0.000 0.000 0.000
K -6.806 -1.747 7.975
K -4.274 0.851 6.864
K -3.264 -3.393 5.721
K -6.399 -1.284 3.507
K -2.220 0.340 3.468
K -8.859 -1.236 11.370
Cd -4.666 0.345 0.718
Cd -5.374 2.235 3.524
Cd -0.166 -2.683 3.896
Cd -0.874 -0.793 6.701
Cd -7.945 1.171 5.720
Cd -3.134 -2.067 9.118
```

The calculated formation energy is -0.01 eV per atom. Its crystal system is orthorhombic.

# 9
DFT (PBE) results for a geometry-optimized Cs3K7Cd4 structure.

```
14
Lattice="-1.916 -5.392 -0.707 9.944 -6.408 -1.591 2.896 -5.602 11.356" Properties=species:S:1:pos:R:3 pbc="T T T"
Cs 1.786 -3.962 1.865
Cs 9.137 -13.439 7.192
Cs 6.420 -6.005 4.882
K 9.335 -10.052 4.332
K 3.721 -8.550 8.090
K 5.196 -12.315 9.296
K 1.588 -7.350 4.725
K 5.728 -5.087 -0.238
K 0.000 0.000 0.000
K 7.202 -8.852 0.967
Cd 3.669 -7.681 1.609
Cd 7.254 -9.721 7.448
Cd 8.286 -12.389 1.495
Cd 2.638 -5.012 7.562
```

The calculated formation energy is -0.01 eV per atom. Its crystal system is monoclinic.

# 10
DFT (PBE) results for a geometry-optimized Cs3K7Cd structure.

```
11
Lattice="-6.507 -1.547 -5.336 4.423 -6.947 2.322 -8.535 -4.573 8.956" Properties=species:S:1:pos:R:3 pbc="T T T"
Cs -7.545 -6.143 1.675
Cs -8.755 -6.856 7.660
Cs -3.699 -8.043 4.369
K -3.079 -2.054 2.947
K -5.276 -2.472 -2.018
K -10.900 -8.901 4.013
K 1.028 -5.587 2.399
K -2.989 -5.657 0.277
K -6.645 -11.003 6.994
K -5.970 -3.573 6.001
Cd -10.192 -11.822 6.210
```

The calculated formation energy is 0.01 eV per atom. Its crystal system is monoclinic.

# 11
DFT (PBE) results for a geometry-optimized Cs5K12Cd3 structure.

```
80
Lattice="-9.633 -11.496 -14.661 -3.196 -8.613 18.855 -7.749 19.489 -0.188" Properties=species:S:1:pos:R:3 pbc="T T T"
Cd -9.392 -9.416 -3.949
Cd -11.795 -14.082 1.289
Cd -10.853 1.410 8.526
Cd -5.714 3.358 -1.379
Cd -10.766 -6.263 -10.519
Cd -7.547 -4.822 6.239
Cd -13.031 4.202 -2.234
Cd -9.813 5.643 14.524
Cd -14.865 -3.978 5.384
Cd -9.726 -2.030 -4.520
Cd -8.784 13.462 2.716
Cd -11.186 8.796 7.954
Cs -4.340 0.205 5.191
Cs -1.598 -4.306 9.427
Cs 0.000 0.000 0.000
Cs -5.380 -4.028 -0.808
Cs -8.691 3.996 -7.425
Cs -6.415 -10.054 2.097
Cs -6.507 -0.588 12.238
Cs -14.405 7.354 -8.804
Cs -12.128 -6.697 0.718
Cs -9.824 9.229 -3.282
Cs -10.754 -9.849 7.288
Cs -10.289 -0.310 2.003
Cs -4.816 -5.748 -7.331
Cs -3.875 9.744 -0.094
Cs -8.450 6.077 3.288
Cs -6.173 -7.974 12.809
Cs -5.473 5.438 9.333
Cs -14.071 -0.032 -8.232
Cs -15.198 3.408 4.813
Cs -16.238 -0.825 -1.185
K -8.433 -7.972 -8.499
K -8.758 -0.108 6.127
K -11.786 -8.728 -6.446
K -7.601 -6.377 -3.977
K -13.454 -0.764 5.031
K -11.665 -11.975 -3.098
K -8.646 -2.905 8.989
K -4.266 -5.416 16.021
K -13.197 -1.182 9.004
K -10.455 -10.901 0.564
K -11.304 -4.974 -3.387
K -11.918 -16.082 5.726
K -8.334 3.552 12.099
K -5.883 -5.853 3.305
K -7.017 -2.521 16.300
K -8.310 4.964 -3.145
K -3.600 2.230 1.210
K -6.314 -9.526 6.468
K -12.843 -12.477 4.250
K -2.848 -4.069 5.211
K -12.181 2.575 11.578
K -10.205 -4.236 3.996
K -16.548 -6.676 1.698
K -15.124 5.673 -4.662
K -10.373 3.616 0.009
K -4.030 6.056 2.307
K -5.454 -6.293 8.667
K -7.736 11.857 -0.244
K -8.397 -3.195 -7.573
K -17.730 3.449 -1.206
K -14.265 8.906 -2.462
K -12.268 -5.584 7.151
K -16.978 -2.850 2.796
K -13.561 1.901 -12.295
K -12.244 -4.172 -8.094
K -8.660 15.462 -1.721
K -14.695 5.233 0.700
K -7.381 0.562 -4.999
K -10.123 10.281 3.442
K -9.274 4.354 7.392
K -16.312 4.796 -12.016
K -11.932 2.285 -4.983
K -12.977 5.757 7.983
K -8.914 11.355 7.103
K -7.124 0.144 -1.026
K -8.792 8.108 10.451
K -11.820 -0.512 -2.122
K -12.145 7.352 12.504
```

The calculated formation energy is 0.16 eV per atom. Its crystal system is cubic.

# 12
DFT (PBE) results for a geometry-optimized Cs8K2Cd structure.

```
11
Lattice="7.968 0.000 0.000 0.000 10.251 -0.037 -3.984 -4.440 12.714" Properties=species:S:1:pos:R:3 pbc="T T T"
Cs 0.000 2.362 10.381
Cs 3.984 8.496 3.519
Cs 3.984 4.824 7.506
Cs 3.984 -2.128 12.434
Cs 0.000 0.987 5.171
Cs 0.000 -2.685 9.158
Cs 3.984 3.449 2.297
Cs 0.000 7.939 0.244
K 3.984 0.067 8.118
K 0.000 5.744 4.560
Cd 3.984 0.000 0.000
```

The calculated formation energy is 0.01 eV per atom. Its crystal system is monoclinic.

# 13
DFT (PBE) results for a geometry-optimized Cs2K3Cd2 structure.

```
7
Lattice="2.864 7.395 0.043 -2.864 7.395 0.043 0.000 1.472 10.045" Properties=species:S:1:pos:R:3 pbc="T T T"
Cs 0.000 6.756 8.775
Cs 0.000 9.507 1.357
K 0.000 11.035 6.662
K 0.000 0.736 5.022
K 0.000 5.228 3.469
Cd 0.000 14.015 1.401
Cd 0.000 2.248 8.731
```

The calculated formation energy is -0.02 eV per atom. Its crystal system is monoclinic.

# 14
DFT (PBE) results for a geometry-optimized CsK4Cd5 structure.

```
20
Lattice="5.236 0.000 0.000 0.000 12.894 0.000 0.000 0.000 12.361" Properties=species:S:1:pos:R:3 pbc="T T T"
Cs 1.441 0.000 0.000
Cs 3.795 6.447 6.180
K 1.283 3.828 0.000
K 3.963 0.000 3.347
K 3.963 0.000 9.014
K 1.283 9.065 0.000
K 3.953 10.275 6.180
K 1.273 6.447 2.833
K 1.273 6.447 9.528
K 3.953 2.618 6.180
Cd 3.920 3.768 2.598
Cd 3.920 3.768 9.763
Cd 1.340 0.000 6.180
Cd 3.920 9.126 2.598
Cd 3.920 9.126 9.763
Cd 1.316 10.215 3.583
Cd 1.316 10.215 8.778
Cd 3.896 6.447 0.000
Cd 1.316 2.679 8.778
Cd 1.316 2.679 3.583
```

The calculated formation energy is -0.01 eV per atom. Its crystal system is orthorhombic.

# 15
DFT (PBE) results for a geometry-optimized Cs4KCd structure.

```
12
Lattice="-7.153 3.684 -3.032 -5.030 -9.293 0.575 2.762 5.259 11.777" Properties=species:S:1:pos:R:3 pbc="T T T"
Cs -5.727 3.430 5.346
Cs -5.612 0.144 1.138
Cs -1.166 -2.154 0.133
Cs -1.253 4.227 7.890
Cs -3.693 -3.781 3.974
Cs -3.808 -0.494 8.182
Cs -3.864 -7.139 0.442
Cs -8.168 -4.578 1.430
K -1.277 0.945 4.106
K -8.143 -1.296 5.214
Cd -4.551 3.082 9.999
Cd -4.869 -3.432 -0.679
```

The calculated formation energy is -0.02 eV per atom. Its excess energy over the best structure of this formula in the dataset is 0.0 kJ/mol of atoms. Its crystal system is monoclinic.

# 16
DFT (PBE) results for a geometry-optimized CsK2Cd structure.

```
4
Lattice="4.616 0.000 0.000 0.000 4.616 0.000 0.000 0.000 11.828" Properties=species:S:1:pos:R:3 pbc="T T T"
Cs 2.308 2.308 5.914
K 0.000 0.000 9.800
K 0.000 0.000 2.027
Cd 2.308 2.308 0.000
```

The calculated formation energy is 0.02 eV per atom. Its crystal system is tetragonal.

# 17
DFT (PBE) results for a geometry-optimized CsKCd structure.

```
6
Lattice="-4.022 2.259 2.225 -3.563 -2.842 2.370 7.373 3.751 15.579" Properties=species:S:1:pos:R:3 pbc="T T T"
Cs 2.185 1.121 7.643
Cs -0.572 0.742 3.046
K -0.738 1.061 14.296
K 2.150 3.963 16.565
Cd -4.248 0.540 8.409
Cd -1.725 0.739 6.875
```

The calculated formation energy is -0.03 eV per atom. Its excess energy over the best structure of this formula in the dataset is 1.0 kJ/mol of atoms. Its crystal system is triclinic.

# 18
DFT (PBE) results for a geometry-optimized Cs3KCd structure.

```
5
Lattice="7.654 0.000 0.000 0.000 7.654 0.000 0.000 0.000 7.654" Properties=species:S:1:pos:R:3 pbc="T T T"
Cs 0.000 3.827 0.000
Cs 0.000 0.000 3.827
Cs 3.827 0.000 0.000
K 3.827 3.827 3.827
Cd 0.000 0.000 0.000
```

The calculated formation energy is 0.03 eV per atom. Its excess energy over the best structure of this formula in the dataset is 5.3 kJ/mol of atoms. Its crystal system is cubic.